## RePbN3 (PBE-GGA)

Data for a relaxed structure of RePbN3.

Results
crystal system	cubic

Cell lengths 4.2050, 4.2050, 4.2050 Å; angles 90.00, 90.00, 90.00 degrees
Last column: nearest neighbours and their distance in Å.
Space group Pm-3m (No. 221)
Asymmetric unit:
Re1 0.0000 0.0000 0.0000  12 N 2.97
Pb1 0.5000 0.5000 0.5000  6 N 2.10
N1 0.0000 0.5000 0.5000  2 Pb 2.10

=====

## ReRhPbN2 (PBE-GGA)

Data for a relaxed structure of ReRhPbN2.

Results
crystal system	tetragonal

Cell lengths 3.8414, 3.8414, 5.6207 Å; angles 90.00, 90.00, 90.00 degrees
Last column: nearest neighbours and their distance in Å.
Space group P4/mmm (No. 123)
Asymmetric unit:
Re1 0.0000 0.0000 0.0000  4 Pb 2.72, 2 Rh 2.81
Rh1 0.0000 0.0000 0.5000  4 N 1.92
Pb1 0.5000 0.5000 0.0000  4 Re 2.72
N1 0.0000 0.5000 0.5000  2 Rh 1.92

=====

## RePbS2N (PBE-GGA)

Data for a relaxed structure of RePbS2N.

Results
crystal system	tetragonal
excess energy over the best structure of this formula in the dataset	0	meV/atom

Cell lengths 4.9296, 4.9296, 3.7894 Å; angles 90.00, 90.00, 90.00 degrees
Last column: nearest neighbours and their distance in Å.
Space group P4/mmm (No. 123)
Asymmetric unit:
Re1 0.0000 0.0000 0.0000  2 N 1.89
Pb1 0.5000 0.5000 0.5000  8 S 3.11
S1 0.0000 0.5000 0.0000  2 Re 2.46
N1 0.0000 0.0000 0.5000  2 Re 1.89

=====

## RePbS2N (PBE-GGA)

Data for a relaxed structure of RePbS2N.

Results
crystal system	tetragonal
excess energy over the best structure of this formula in the dataset	2041	meV/atom

Cell lengths 5.2088, 5.2088, 4.1114 Å; angles 90.00, 90.00, 90.00 degrees
Last column: nearest neighbours and their distance in Å.
Space group P4/mmm (No. 123)
Asymmetric unit:
Re1 0.0000 0.0000 0.0000  8 S 3.32, 4 N 3.68
Pb1 0.5000 0.5000 0.5000  2 N 2.06
S1 0.0000 0.5000 0.5000  2 Pb 2.60
N1 0.5000 0.5000 0.0000  2 Pb 2.06

=====

## Sc2RePbN (PBE-GGA)

Data for a relaxed structure of Sc2RePbN.

Results
crystal system	tetragonal

Cell lengths 4.2484, 4.2484, 4.9421 Å; angles 90.00, 90.00, 90.00 degrees
Last column: nearest neighbours and their distance in Å.
Space group P4/mmm (No. 123)
Asymmetric unit:
Sc1 0.0000 0.5000 0.0000  2 N 2.12
Re1 0.0000 0.0000 0.5000  4 Pb 3.00, 8 Sc 3.26
Pb1 0.5000 0.5000 0.5000  2 N 2.47
N1 0.5000 0.5000 0.0000  4 Sc 2.12

=====

## RePbSeN2 (PBE-GGA)

Data for a relaxed structure of RePbSeN2.

Results
crystal system	tetragonal
excess energy over the best structure of this formula in the dataset	0	meV/atom

Cell lengths 3.9853, 3.9853, 5.4102 Å; angles 90.00, 90.00, 90.00 degrees
Last column: nearest neighbours and their distance in Å.
Space group P4/mmm (No. 123)
Asymmetric unit:
Re1 0.0000 0.0000 0.0000  4 N 1.99
Pb1 0.5000 0.5000 0.5000  4 Se 2.82
Se1 0.0000 0.0000 0.5000  2 Re 2.71, 4 Pb 2.82
N1 0.0000 0.5000 0.0000  2 Re 1.99

=====

## RePbSeN2 (PBE-GGA)

Data for a relaxed structure of RePbSeN2.

Results
crystal system	tetragonal
excess energy over the best structure of this formula in the dataset	2073	meV/atom

Cell lengths 4.1477, 4.1477, 6.0498 Å; angles 90.00, 90.00, 90.00 degrees
Last column: nearest neighbours and their distance in Å.
Space group P4/mmm (No. 123)
Asymmetric unit:
Re1 0.0000 0.0000 0.0000  4 Se 2.93
Pb1 0.5000 0.5000 0.5000  4 N 2.07
Se1 0.5000 0.5000 0.0000  4 Re 2.93, 2 Pb 3.02
N1 0.0000 0.5000 0.5000  2 Pb 2.07

=====

## ReSnPbN2 (PBE-GGA)

Data for a relaxed structure of ReSnPbN2.

Results
crystal system	tetragonal

Cell lengths 4.0121, 4.0121, 5.5974 Å; angles 90.00, 90.00, 90.00 degrees
Last column: nearest neighbours and their distance in Å.
Space group P4/mmm (No. 123)
Asymmetric unit:
Re1 0.0000 0.0000 0.0000  4 N 2.01
Sn1 0.0000 0.0000 0.5000  2 Re 2.80, 4 Pb 2.84
Pb1 0.5000 0.5000 0.5000  4 Sn 2.84
N1 0.0000 0.5000 0.0000  2 Re 2.01

=====

## Ta2RePbN (PBE-GGA)

Data for a relaxed structure of Ta2RePbN.

Results
crystal system	tetragonal

Cell lengths 4.3067, 4.3067, 4.2504 Å; angles 90.00, 90.00, 90.00 degrees
Last column: nearest neighbours and their distance in Å.
Space group P4/mmm (No. 123)
Asymmetric unit:
Ta1 0.0000 0.5000 0.0000  2 N 2.15
Re1 0.0000 0.0000 0.5000  2 N 2.13
Pb1 0.5000 0.5000 0.5000  8 Ta 3.03, 4 Re 3.05
N1 0.0000 0.0000 0.0000  2 Re 2.13, 4 Ta 2.15

=====

## ReTe2PbN (PBE-GGA)

Data for a relaxed structure of ReTe2PbN.

Results
crystal system	tetragonal
excess energy over the best structure of this formula in the dataset	1836	meV/atom

Cell lengths 5.8549, 5.8549, 4.1503 Å; angles 90.00, 90.00, 90.00 degrees
Last column: nearest neighbours and their distance in Å.
Space group P4/mmm (No. 123)
Asymmetric unit:
Re1 0.0000 0.0000 0.0000  8 Te 3.59
Te1 0.0000 0.5000 0.5000  2 Pb 2.93
Pb1 0.5000 0.5000 0.5000  2 N 2.08
N1 0.5000 0.5000 0.0000  2 Pb 2.08

=====

## ReTe2PbN (PBE-GGA)

Data for a relaxed structure of ReTe2PbN.

Results
crystal system	tetragonal
excess energy over the best structure of this formula in the dataset	0	meV/atom

Cell lengths 5.6020, 5.6020, 3.7777 Å; angles 90.00, 90.00, 90.00 degrees
Last column: nearest neighbours and their distance in Å.
Space group P4/mmm (No. 123)
Asymmetric unit:
Re1 0.0000 0.0000 0.0000  2 N 1.89
Te1 0.0000 0.5000 0.0000  2 Re 2.80
Pb1 0.5000 0.5000 0.5000  8 Te 3.38, 2 Pb 3.78
N1 0.0000 0.0000 0.5000  2 Re 1.89

=====

## Rh2PbN (PBE-GGA)

Data for a relaxed structure of Rh2PbN.

Results
crystal system	tetragonal
excess energy over the best structure of this formula in the dataset	0	meV/atom

Cell lengths 5.4793, 5.4793, 9.7882 Å; angles 90.00, 90.00, 90.00 degrees
Last column: nearest neighbours and their distance in Å.
Space group I-42d (No. 122)
Asymmetric unit:
Rh1 0.1190 0.2500 0.1250  2 N 1.95
Pb1 0.0000 0.0000 0.5000  4 Rh 2.78
N1 0.0000 0.0000 0.0000  4 Rh 1.95

=====

## Rh3PbN (PBE-GGA)

Data for a relaxed structure of Rh3PbN.

Results
crystal system	cubic
excess energy over the best structure of this formula in the dataset	0	meV/atom

Cell lengths 4.2009, 4.2009, 4.2009 Å; angles 90.00, 90.00, 90.00 degrees
Last column: nearest neighbours and their distance in Å.
Space group Pm-3m (No. 221)
Asymmetric unit:
Rh1 0.0000 0.0000 0.5000  2 N 2.10
Pb1 0.5000 0.5000 0.5000  12 Rh 2.97
N1 0.0000 0.0000 0.0000  6 Rh 2.10

=====

## RhPb3N (PBE-GGA)

Data for a relaxed structure of RhPb3N.

Results
crystal system	cubic
excess energy over the best structure of this formula in the dataset	290	meV/atom

Cell lengths 5.2001, 5.2001, 5.2001 Å; angles 90.00, 90.00, 90.00 degrees
Last column: nearest neighbours and their distance in Å.
Space group Pm-3m (No. 221)
Asymmetric unit:
Rh1 0.0000 0.0000 0.0000  6 Pb 2.60
Pb1 0.0000 0.0000 0.5000  2 Rh 2.60
N1 0.5000 0.5000 0.5000  12 Pb 3.68

=====

## RhPb3N (PBE-GGA)

Data for a relaxed structure of RhPb3N.

Results
crystal system	cubic
excess energy over the best structure of this formula in the dataset	0	meV/atom

Cell lengths 4.8426, 4.8426, 4.8426 Å; angles 90.00, 90.00, 90.00 degrees
Last column: nearest neighbours and their distance in Å.
Space group Pm-3m (No. 221)
Asymmetric unit:
Rh1 0.0000 0.0000 0.0000  12 Pb 3.42
Pb1 0.0000 0.5000 0.5000  2 N 2.42
N1 0.5000 0.5000 0.5000  6 Pb 2.42

=====

## Rh2PbN (PBE-GGA)

Data for a relaxed structure of Rh2PbN.

Results
crystal system	cubic
excess energy over the best structure of this formula in the dataset	885	meV/atom

Cell lengths 6.2673, 6.2673, 6.2673 Å; angles 90.00, 90.00, 90.00 degrees
Last column: nearest neighbours and their distance in Å.
Space group Fm-3m (No. 225)
Asymmetric unit:
Rh1 0.2500 0.2500 0.2500  4 Pb 2.71, 4 N 2.71
Pb1 0.0000 0.0000 0.0000  8 Rh 2.71
N1 0.0000 0.0000 0.5000  8 Rh 2.71

=====

## Rh3PbN (PBE-GGA)

Data for a relaxed structure of Rh3PbN.

Results
crystal system	cubic
excess energy over the best structure of this formula in the dataset	2319	meV/atom

Cell lengths 5.0803, 5.0803, 5.0803 Å; angles 90.00, 90.00, 90.00 degrees
Last column: nearest neighbours and their distance in Å.
Space group Pm-3m (No. 221)
Asymmetric unit:
Rh1 0.0000 0.0000 0.5000  2 Pb 2.54
Pb1 0.0000 0.0000 0.0000  6 Rh 2.54
N1 0.5000 0.5000 0.5000  12 Rh 3.59

=====

## RhPbS2N (PBE-GGA)

Data for a relaxed structure of RhPbS2N.

Results
crystal system	tetragonal
excess energy over the best structure of this formula in the dataset	0	meV/atom

Cell lengths 5.0140, 5.0140, 3.6985 Å; angles 90.00, 90.00, 90.00 degrees
Last column: nearest neighbours and their distance in Å.
Space group P4/mmm (No. 123)
Asymmetric unit:
Rh1 0.0000 0.0000 0.0000  2 N 1.85
Pb1 0.5000 0.5000 0.5000  8 S 3.12
S1 0.0000 0.5000 0.0000  2 Rh 2.51
N1 0.0000 0.0000 0.5000  2 Rh 1.85

=====

## RhPbS2N (PBE-GGA)

Data for a relaxed structure of RhPbS2N.

Results
crystal system	tetragonal
excess energy over the best structure of this formula in the dataset	1412	meV/atom

Cell lengths 5.2065, 5.2065, 4.2870 Å; angles 90.00, 90.00, 90.00 degrees
Last column: nearest neighbours and their distance in Å.
Space group P4/mmm (No. 123)
Asymmetric unit:
Rh1 0.0000 0.0000 0.0000  8 S 3.37, 4 N 3.68
Pb1 0.5000 0.5000 0.5000  2 N 2.14
S1 0.0000 0.5000 0.5000  2 Pb 2.60
N1 0.5000 0.5000 0.0000  2 Pb 2.14

=====

## RhPbSeN2 (PBE-GGA)

Data for a relaxed structure of RhPbSeN2.

Results
crystal system	tetragonal
excess energy over the best structure of this formula in the dataset	1080	meV/atom

Cell lengths 4.2220, 4.2220, 5.8058 Å; angles 90.00, 90.00, 90.00 degrees
Last column: nearest neighbours and their distance in Å.
Space group P4/mmm (No. 123)
Asymmetric unit:
Rh1 0.0000 0.0000 0.0000  4 Se 2.99
Pb1 0.5000 0.5000 0.5000  4 N 2.11
Se1 0.5000 0.5000 0.0000  2 Pb 2.90, 4 Rh 2.99
N1 0.0000 0.5000 0.5000  2 Pb 2.11

=====

These records have raw formation energy values of 2.912; 1.605; 0.024; 2.065; -0.117; 0.390; 2.463; 0.646; 0.138; 2.033; 0.197; 0.261; 0.238; 1.053; 0.763; 1.146; 2.557; 0.194; 1.606; 1.992 eV/atom, in the order they appear.